# 1
First-principles (PBE) data for crystalline CoMo2HIr at its relaxed geometry, as listed in Alexandria.

Values from the calculation:
DOS(E_F): 0.8177 states/eV per atom
Final energy: -8.17 eV per atom
Crystal system: tetragonal

a b c (Å): 3.895 3.895 3.892
angles (deg): 90.00 90.00 90.00
Atoms (fractional coordinates):
Ir 0.000 0.000 0.500
Mo 0.000 0.500 0.000
Mo 0.500 0.000 0.000
Co 0.500 0.500 0.500
H 0.000 0.000 0.000


# 2
First-principles (PBE) data for crystalline Na2CoH6Ir at its relaxed geometry, as listed in Alexandria.

Values from the calculation:
DOS(E_F): 0.1922 states/eV per atom
Final energy: -4.02 eV per atom
Crystal system: tetragonal

a b c (Å): 4.935 4.935 4.924
angles (deg): 59.90 59.90 90.02
Atoms (fractional coordinates):
Na 0.750 0.250 0.500
Na 0.250 0.750 0.500
H 0.250 0.250 0.501
H 0.750 0.750 0.499
H 0.749 0.749 0.000
H 0.749 0.251 0.000
H 0.251 0.749 0.000
H 0.251 0.251 0.000
Ir 0.500 0.500 0.000
Co 0.000 0.000 0.000


# 3
First-principles (PBE) data for crystalline NbCoHIr2 at its relaxed geometry, as listed in Alexandria.

Values from the calculation:
DOS(E_F): 0.5101 states/eV per atom
Final energy: -7.93 eV per atom
Crystal system: tetragonal

a b c (Å): 3.935 3.935 3.842
angles (deg): 90.00 90.00 90.00
Atoms (fractional coordinates):
Ir 0.000 0.500 0.000
Ir 0.500 0.000 0.000
Nb 0.500 0.500 0.500
Co 0.000 0.000 0.500
H 0.000 0.000 0.000


# 4
First-principles (PBE) data for crystalline Nb2CoHIr at its relaxed geometry, as listed in Alexandria.

Values from the calculation:
DOS(E_F): 0.4335 states/eV per atom
Final energy: -8.18 eV per atom
Crystal system: tetragonal

a b c (Å): 4.070 4.070 3.798
angles (deg): 90.00 90.00 90.00
Atoms (fractional coordinates):
Nb 0.000 0.500 0.000
Nb 0.500 0.000 0.000
Ir 0.500 0.500 0.500
Co 0.000 0.000 0.500
H 0.000 0.000 0.000


# 5
First-principles (PBE) data for crystalline NbCoHIr2 at its relaxed geometry, as listed in Alexandria.

Values from the calculation:
DOS(E_F): 0.6882 states/eV per atom
Final energy: -7.82 eV per atom
Crystal system: tetragonal

a b c (Å): 3.880 3.880 3.998
angles (deg): 90.00 90.00 90.00
Atoms (fractional coordinates):
Co 0.500 0.500 0.500
H 0.000 0.000 0.000
Ir 0.500 0.000 0.000
Ir 0.000 0.500 0.000
Nb 0.000 0.000 0.500


# 6
First-principles (PBE) data for crystalline NbCo2HIr at its relaxed geometry, as listed in Alexandria.

Values from the calculation:
DOS(E_F): 0.4001 states/eV per atom
Final energy: -7.53 eV per atom
Crystal system: tetragonal

a b c (Å): 3.808 3.808 3.800
angles (deg): 90.00 90.00 90.00
Atoms (fractional coordinates):
Nb 0.500 0.500 0.500
Ir 0.000 0.000 0.500
H 0.000 0.000 0.000
Co 0.000 0.500 0.000
Co 0.500 0.000 0.000


# 7
First-principles (PBE) data for crystalline Nb2CoHIr at its relaxed geometry, as listed in Alexandria.

Values from the calculation:
DOS(E_F): 0.7564 states/eV per atom
Final energy: -8.08 eV per atom
Crystal system: tetragonal

a b c (Å): 4.054 3.876 4.054
angles (deg): 90.00 90.00 90.00
Atoms (fractional coordinates):
Co 0.500 0.500 0.500
H 0.000 0.000 0.000
Ir 0.000 0.500 0.000
Nb 0.000 0.000 0.500
Nb 0.500 0.000 0.000


# 8
First-principles (PBE) data for crystalline NbCo2HIr at its relaxed geometry, as listed in Alexandria.

Values from the calculation:
DOS(E_F): 0.6443 states/eV per atom
Final energy: -7.51 eV per atom
Crystal system: tetragonal

a b c (Å): 3.740 3.740 3.949
angles (deg): 90.00 90.00 90.00
Atoms (fractional coordinates):
Ir 0.500 0.500 0.500
Co 0.000 0.500 0.000
Co 0.500 0.000 0.000
Nb 0.000 0.000 0.500
H 0.000 0.000 0.000


# 9
First-principles (PBE) data for crystalline Nd2CoH6Ir at its relaxed geometry, as listed in Alexandria.

Values from the calculation:
DOS(E_F): 0.3440 states/eV per atom
Final energy: -4.99 eV per atom
Crystal system: monoclinic

a b c (Å): 5.325 5.325 5.023
angles (deg): 118.10 118.09 96.18
Atoms (fractional coordinates):
Nd 0.750 0.250 0.500
Nd 0.250 0.751 0.500
Co 0.000 0.000 0.000
Ir 0.500 0.500 0.000
H 0.791 0.209 0.000
H 0.246 0.246 0.000
H 0.754 0.754 0.507
H 0.246 0.246 0.492
H 0.754 0.755 0.000
H 0.209 0.792 0.000


# 10
First-principles (PBE) data for crystalline CoNi2HIr at its relaxed geometry, as listed in Alexandria.

Values from the calculation:
DOS(E_F): 1.5077 states/eV per atom
Final energy: -6.10 eV per atom
Crystal system: tetragonal

a b c (Å): 3.649 3.649 3.714
angles (deg): 90.00 90.00 90.00
Atoms (fractional coordinates):
Ni 0.000 0.500 0.000
Ni 0.500 0.000 0.000
H 0.000 0.000 0.000
Co 0.000 0.000 0.500
Ir 0.500 0.500 0.500


# 11
First-principles (PBE) data for crystalline CoNiHIr2 at its relaxed geometry, as listed in Alexandria.

Values from the calculation:
DOS(E_F): 1.4496 states/eV per atom
Final energy: -6.63 eV per atom
Crystal system: tetragonal

a b c (Å): 3.850 3.850 3.648
angles (deg): 90.00 90.00 90.00
Atoms (fractional coordinates):
Ir 0.500 0.000 0.000
Ir 0.000 0.500 0.000
Co 0.000 0.000 0.500
H 0.000 0.000 0.000
Ni 0.500 0.500 0.500


# 12
First-principles (PBE) data for crystalline CoNi2HIr at its relaxed geometry, as listed in Alexandria.

Values from the calculation:
DOS(E_F): 1.2934 states/eV per atom
Final energy: -6.10 eV per atom
Crystal system: tetragonal

a b c (Å): 3.659 3.659 3.791
angles (deg): 90.00 90.00 90.00
Atoms (fractional coordinates):
Ni 0.000 0.500 0.000
Ni 0.500 0.000 0.000
Ir 0.000 0.000 0.500
H 0.000 0.000 0.000
Co 0.500 0.500 0.500